The following is a DFT calculation (GGA+U) of a relaxed structure of BeNiO.

**Energy**: -5.02 eV/atom
**DOS(E_F)**: 0.682 states/eV/cell
**Volume**: 33.2 Å³/f.u.
**Symmetry**: Imm2, No. 44

Cell: 6.0584 2.6473 6.0586 Å, 102.64 44.73 102.64°
Positions (direct):
Ni 0.1692 0.2151 0.9590
O 0.9178 0.9650 0.7100
Be 0.7502 0.4648 0.8773
Ni 0.6692 0.7151 0.4589
O 0.4180 0.4652 0.2102
Be 0.2507 0.9653 0.3778